[1]
Here is an optimized crystal structure of NdDy2Si4Au4 from the Open Quantum Materials Database. Energies are from PBE-GGA.

Values from the calculation:
- raw total energy (eV/cell) = -113.18
- volume (Å³ per atom) = 20.283

Lattice parameters (Å, degrees): 4.178 4.246 25.151 90.00 90.00 90.00
Space group Immm (No. 71)
Inequivalent atoms, fractional coordinates:
Nd1 0.000 0.000 0.000 (multiplicity 2)
Dy1 0.000 0.500 0.148 (multiplicity 4)
Si1 0.000 0.000 0.453 (multiplicity 4)
Si2 0.000 0.500 0.309 (multiplicity 4)
Au1 0.000 0.000 0.252 (multiplicity 4)
Au2 0.000 0.500 0.405 (multiplicity 4)

***

[2]
Here is an optimized crystal structure of Nd2DySn4Au4 from the Open Quantum Materials Database. Energies are from PBE-GGA.

Values from the calculation:
- raw total energy (eV/cell) = -101.32
- volume (Å³ per atom) = 24.083

Lattice parameters (Å, degrees): 4.697 7.242 15.577 90.00 90.00 90.00
Space group Immm (No. 71)
Inequivalent atoms, fractional coordinates:
Nd1 0.000 0.000 0.130 (multiplicity 4)
Dy1 0.000 0.500 0.000 (multiplicity 2)
Sn1 0.000 0.299 0.500 (multiplicity 4)
Sn2 0.000 0.500 0.211 (multiplicity 4)
Au1 0.000 0.202 0.330 (multiplicity 8)

***

[3]
Here is an optimized crystal structure of Dy2NiAu from the Open Quantum Materials Database. Energies are from PBE-GGA.

Values from the calculation:
- volume (Å³ per atom) = 22.101
- E_form (eV per atom) = -0.657

Lattice parameters (Å, degrees): 4.496 5.543 7.095 90.00 90.00 90.00
Space group Pmc2_1 (No. 26)
Inequivalent atoms, fractional coordinates:
Dy1 0.000 0.106 0.000 (multiplicity 2)
Dy2 0.500 0.374 0.637 (multiplicity 2)
Ni1 0.500 0.108 0.277 (multiplicity 2)
Au1 0.000 0.390 0.353 (multiplicity 2)

***

[4]
Here is an optimized crystal structure of PrDy2Si4Ni2Au2 from the Open Quantum Materials Database. Energies are from PBE-GGA.

Values from the calculation:
- raw total energy (eV/cell) = -124.46
- volume (Å³ per atom) = 18.687

Lattice parameters (Å, degrees): 4.074 4.176 24.169 90.00 90.00 90.00
Space group Immm (No. 71)
Inequivalent atoms, fractional coordinates:
Pr1 0.000 0.000 0.000 (multiplicity 2)
Dy1 0.000 0.500 0.157 (multiplicity 4)
Si1 0.000 0.000 0.450 (multiplicity 4)
Si2 0.000 0.500 0.295 (multiplicity 4)
Ni1 0.000 0.000 0.250 (multiplicity 4)
Au1 0.000 0.500 0.397 (multiplicity 4)

***

[5]
Here is an optimized crystal structure of Pr2DySi4Ni2Au2 from the Open Quantum Materials Database. Energies are from PBE-GGA.

Values from the calculation:
- raw total energy (eV/cell) = -124.50
- volume (Å³ per atom) = 19.153

Lattice parameters (Å, degrees): 4.064 4.231 24.503 90.00 90.00 90.00
Space group Immm (No. 71)
Inequivalent atoms, fractional coordinates:
Pr1 0.000 0.000 0.154 (multiplicity 4)
Dy1 0.000 0.500 0.000 (multiplicity 2)
Si1 0.000 0.000 0.297 (multiplicity 4)
Si2 0.000 0.500 0.452 (multiplicity 4)
Ni1 0.000 0.500 0.250 (multiplicity 4)
Au1 0.000 0.000 0.401 (multiplicity 4)

***

[6]
Here is an optimized crystal structure of Sm2DySi4Ni2Au2 from the Open Quantum Materials Database. Energies are from PBE-GGA.

Values from the calculation:
- raw total energy (eV/cell) = -124.72
- volume (Å³ per atom) = 18.633

Lattice parameters (Å, degrees): 4.017 4.187 24.373 90.00 90.00 90.00
Space group Immm (No. 71)
Inequivalent atoms, fractional coordinates:
Sm1 0.000 0.000 0.155 (multiplicity 4)
Dy1 0.000 0.500 0.000 (multiplicity 2)
Si1 0.000 0.000 0.297 (multiplicity 4)
Si2 0.000 0.500 0.452 (multiplicity 4)
Ni1 0.000 0.500 0.250 (multiplicity 4)
Au1 0.000 0.000 0.400 (multiplicity 4)

***

[7]
Here is an optimized crystal structure of Dy3Zn3NiAu2 from the Open Quantum Materials Database. Energies are from PBE-GGA.

Values from the calculation:
- volume (Å³ per atom) = 19.895
- E_form (eV per atom) = -0.617

Lattice parameters (Å, degrees): 3.931 12.560 7.252 90.00 90.00 90.00
Space group Amm2 (No. 38)
Inequivalent atoms, fractional coordinates:
Dy1 0.000 0.000 0.000 (multiplicity 2)
Dy2 0.000 0.197 0.593 (multiplicity 4)
Zn1 0.500 0.000 0.625 (multiplicity 2)
Zn2 0.500 0.114 0.281 (multiplicity 4)
Ni1 0.000 0.000 0.396 (multiplicity 2)
Au1 0.500 0.167 0.896 (multiplicity 4)

***

[8]
Here is an optimized crystal structure of Dy3Zn3NiAu2 from the Open Quantum Materials Database. Energies are from PBE-GGA.

Values from the calculation:
- volume (Å³ per atom) = 19.878
- E_form (eV per atom) = -0.616

Lattice parameters (Å, degrees): 7.2922 7.2922 3.8849 90.00 90.00 120.00
Space group P-62m (No. 189)
Inequivalent atoms, fractional coordinates:
Dy1 0.0000 0.6039 0.0000 (multiplicity 3)
Zn1 0.0000 0.2303 0.5000 (multiplicity 3)
Ni1 0.0000 0.0000 0.0000 (multiplicity 1)
Au1 0.3333 0.6667 0.5000 (multiplicity 2)